(1)
A geometry-optimized NiBiPdPt2 structure. Source: Alexandria via LeMat-Bulk, functional PBE.

Calculated values
calculated volume = 102.4 Å³ per cell
size of the total moment = 0.00 Bohr magnetons per cell
energy relative to the elements = 356 kJ/mol of formula units
ρ = 12393 kg/m³
energy = -23.243 eV for the cell shown

a b c (Å): 4.650 4.650 4.737
angles (deg): 90.00 90.00 90.00
Space group P4/mmm (No. 123)
Unique sites:
Ni: 0.000 0.000 0.000
Bi: 0.000 0.000 0.500
Pd: 0.500 0.500 0.500
Pt: 0.000 0.500 0.000

(2)
A geometry-optimized In2PdPt structure. Source: Alexandria via LeMat-Bulk, functional PBE.

Calculated values
calculated volume = 158.3 Å³ per cell
size of the total moment = 0.00 Bohr magnetons per cell
energy relative to the elements = -153 kJ/mol of formula units
ρ = 11145 kg/m³
energy = -36.589 eV for the cell shown

a b c (Å): 3.087 6.921 7.951
angles (deg): 106.74 90.08 102.75
Space group P-1 (No. 2)
Unique sites:
In: 0.111 0.221 0.401
In: 0.129 0.260 0.978
Pd: 0.431 0.860 0.321
Pt: 0.262 0.523 0.739

(3)
A geometry-optimized LuSc2Fe structure. Source: Alexandria via LeMat-Bulk, functional PBE.

Calculated values
calculated volume = 84.3 Å³ per cell
size of the total moment = 0.00 Bohr magnetons per cell
energy relative to the elements = -10 kJ/mol of formula units
ρ = 6317 kg/m³
energy = -25.749 eV for the cell shown

a b c (Å): 3.175 3.175 8.364
angles (deg): 90.00 90.00 90.00
Space group P4/mmm (No. 123)
Unique sites:
Lu: 0.000 0.000 0.000
Sc: 0.500 0.500 0.322
Fe: 0.000 0.000 0.500

(4)
A geometry-optimized HfTiSe2N structure. Source: Alexandria via LeMat-Bulk, functional PBE.

Calculated values
calculated volume = 107.6 Å³ per cell
size of the total moment = 0.02 Bohr magnetons per cell
ρ = 6147 kg/m³
energy = -33.739 eV for the cell shown
ΔE_f (raw) = -119 meV/atom

a b c (Å): 5.216 5.216 3.954
angles (deg): 90.00 90.00 90.00
Space group P4/mmm (No. 123)
Unique sites:
Hf: 0.000 0.000 0.000
Ti: 0.500 0.500 0.500
Se: 0.000 0.500 0.000
N: 0.000 0.000 0.500

(5)
A geometry-optimized Sn2Hg4As structure. Source: Alexandria via LeMat-Bulk, functional PBE.

Calculated values
calculated volume = 432.7 Å³ per cell
size of the total moment = 0.00 Bohr magnetons per cell
energy relative to the elements = 173 kJ/mol of formula units
ρ = 8555 kg/m³
energy = -24.149 eV for the cell shown

a b c (Å): 5.455 5.455 14.541
angles (deg): 90.00 90.00 90.00
Space group I4/mmm (No. 139)
Unique sites:
Sn: 0.000 0.000 0.110
Hg: 0.000 0.000 0.307
Hg: 0.000 0.500 0.000
As: 0.000 0.000 0.500

(6)
A geometry-optimized LaMoPt2 structure. Source: Alexandria via LeMat-Bulk, functional PBE.

Calculated values
calculated volume = 182.1 Å³ per cell
size of the total moment = 0.00 Bohr magnetons per cell
energy relative to the elements = -153 kJ/mol of formula units
ρ = 11397 kg/m³
energy = -58.852 eV for the cell shown

a b c (Å): 7.749 4.468 5.853
angles (deg): 90.00 116.01 90.00
Space group Cm (No. 8)
Unique sites:
La: 0.000 0.000 0.000
Mo: 0.310 0.500 0.435
Pt: 0.202 0.000 0.613
Pt: 0.477 0.000 0.437